Record 1
KAl2Ni | Alexandria via LeMat-Bulk | PBE-GGA | optimized geometry; relative energy among the computed polymorphs = 3.08 eV per formula unit; N(E_F) = 2.428 states/eV per cell; E_form = 0.645 eV per atom
1.0
4.137 0.000 0.000
0.000 4.137 0.000
0.000 0.000 4.722
K Al Ni
1 2 1
Direct
0.000 0.000 0.000
0.000 0.500 0.500
0.500 0.000 0.500
0.500 0.500 0.000

***

Record 2
La2TbDy5Y | Alexandria via LeMat-Bulk | PBE-GGA | optimized geometry; N(E_F) = 25.963 states/eV per cell; E_form = 0.255 eV per atom
1.0
-4.310 4.310 7.986
4.310 -4.310 7.986
4.310 4.310 -7.986
La Tb Dy Y
4 2 10 2
Direct
0.119 0.619 0.737
0.381 0.119 0.500
0.619 0.881 0.500
0.881 0.381 0.263
0.250 0.250 0.000
0.750 0.750 0.000
0.000 0.000 0.000
0.076 0.140 0.500
0.140 0.640 0.064
0.360 0.424 0.500
0.424 0.924 0.064
0.500 0.500 0.000
0.576 0.076 0.936
0.640 0.576 0.500
0.860 0.360 0.936
0.924 0.860 0.500
0.250 0.750 0.500
0.750 0.250 0.500

***

Record 3
Ac4PdRu | Alexandria via LeMat-Bulk | PBE-GGA | optimized geometry; relative energy among the computed polymorphs = 0.07 eV per formula unit; N(E_F) = 9.517 states/eV per cell; E_form = -0.355 eV per atom
1.0
4.430 -8.332 0.000
4.430 8.332 0.000
-4.385 0.000 5.992
Ac Pd Ru
8 2 2
Direct
0.036 0.421 0.237
0.189 0.296 0.739
0.296 0.189 0.239
0.421 0.036 0.737
0.579 0.964 0.263
0.704 0.811 0.761
0.811 0.704 0.261
0.964 0.579 0.763
0.421 0.579 0.250
0.579 0.421 0.750
0.080 0.920 0.750
0.920 0.080 0.250

***

Record 4
NaYMg2Ge | Alexandria via LeMat-Bulk | PBE-GGA | optimized geometry; N(E_F) = 2.673 states/eV per cell; E_form = 0.427 eV per atom
1.0
4.984 0.000 0.000
0.000 4.984 0.000
0.000 0.000 5.133
Na Y Mg Ge
1 1 2 1
Direct
0.000 0.000 0.000
0.500 0.500 0.500
0.000 0.500 0.000
0.500 0.000 0.000
0.000 0.000 0.500

***

Record 5
PrRe3N8 | Alexandria via LeMat-Bulk | PBE-GGA | optimized geometry; formation energy (no corrections) = 0.019 eV per atom; N(E_F) = 2.576 states/eV per cell
1.0
5.716 0.000 0.000
-2.858 4.950 0.000
0.000 0.000 6.602
Pr Re N
1 3 8
Direct
0.000 0.000 0.000
0.000 0.000 0.500
0.333 0.667 0.769
0.667 0.333 0.231
0.157 0.313 0.682
0.157 0.843 0.682
0.313 0.157 0.318
0.333 0.667 0.035
0.667 0.333 0.965
0.687 0.843 0.682
0.843 0.157 0.318
0.843 0.687 0.318

***

Record 6
La2PdS2 | Alexandria via LeMat-Bulk | PBE-GGA | optimized geometry; formation energy (no corrections) = -1.518 eV per atom; N(E_F) = 5.166 states/eV per cell
1.0
7.808 0.000 0.000
0.000 7.808 0.000
0.000 0.000 3.748
La Pd S
4 2 4
Direct
0.166 0.334 0.000
0.334 0.834 0.000
0.666 0.166 0.000
0.834 0.666 0.000
0.000 0.000 0.500
0.500 0.500 0.500
0.142 0.642 0.500
0.358 0.142 0.500
0.642 0.858 0.500
0.858 0.358 0.500

***

| no. | calculated volume (Å³ per atom) |
| --- | --- |
| 1 | 20.2 |
| 2 | 33.0 |
| 3 | 36.9 |
| 4 | 25.5 |
| 5 | 15.6 |
| 6 | 22.8 |